Record 1
The following is a PBE-GGA calculation of Hf2PbBr after structural relaxation, from the Alexandria database.

Structure (POSCAR):
```
Hf2PbBr
1.0
1.536 -3.371 -3.352
2.224 -4.205 1.526
-2.377 -4.375 -0.413
Hf Br Pb
2 1 1
direct
0.750 0.750 0.750
0.250 0.250 0.250
0.000 0.000 0.000
0.500 0.500 0.500
```

ΔE_f (raw) in eV per atom: 0.05
Symmetry: No. 225
Crystal system: cubic
Relative energy among the computed polymorphs in meV per atom: 0

Record 2
The following is a PBE-GGA calculation of YIr2Cl after structural relaxation, from the Alexandria database.

Structure (POSCAR):
```
YIr2Cl
1.0
-0.218 -2.717 3.859
-2.868 -3.754 0.088
1.815 -4.362 -0.076
Ir Cl Y
2 1 1
direct
0.250 0.250 0.250
0.750 0.750 0.750
0.000 0.000 0.000
0.500 0.500 0.500
```

ΔE_f (raw) in eV per atom: 0.46
Symmetry: No. 225
Crystal system: cubic
Relative energy among the computed polymorphs in meV per atom: 1017

Record 3
The following is a PBE-GGA calculation of Sc2ZnAsPt after structural relaxation, from the Alexandria database.

Structure (POSCAR):
```
Sc2ZnAsPt
1.0
5.010 0.000 0.000
0.000 5.010 0.000
0.000 0.000 4.650
Pt Zn As Sc
1 1 1 2
direct
0.000 0.000 0.500
0.500 0.500 0.500
0.000 0.000 0.000
0.000 0.500 0.000
0.500 0.000 0.000
```

E_form in eV/atom: -0.184
Symmetry: No. 123
Crystal system: tetragonal

Record 4
The following is a PBE-GGA calculation of AlNiTe2 after structural relaxation, from the Alexandria database.

Structure (POSCAR):
```
AlNiTe2
1.0
3.071 0.075 0.000
-0.274 3.060 0.000
0.000 0.000 9.795
Al Te Ni
1 2 1
direct
0.000 0.000 0.585
0.500 0.500 0.299
0.000 0.000 0.905
0.500 0.500 0.711
```

ΔE_f (raw) in eV per atom: 0.06
Symmetry: No. 35
Crystal system: orthorhombic

Record 5
The following is a PBE-GGA calculation of Ac2BeCu2O6 after structural relaxation, from the Alexandria database.

Structure (POSCAR):
```
Ac2BeCu2O6
1.0
-2.011 5.325 -0.362
-2.309 1.851 -4.875
-5.955 0.791 -0.215
O Cu Ac Be
6 2 2 1
direct
0.210 0.772 0.246
0.228 0.790 0.754
0.790 0.228 0.754
0.772 0.772 0.246
0.772 0.210 0.246
0.228 0.228 0.754
0.582 0.582 0.253
0.418 0.418 0.747
0.222 0.222 0.333
0.778 0.778 0.667
0.000 0.000 0.000
```

ΔE_f (raw) in eV per atom: -1.86
Symmetry: No. 166
Crystal system: trigonal

Record 6
The following is a PBE-GGA calculation of Be4NiOs after structural relaxation, from the Alexandria database.

Structure (POSCAR):
```
Be4NiOs
1.0
2.933 -0.400 3.066
-1.207 -0.311 4.076
0.425 -3.700 2.073
Ni Be Os
1 4 1
direct
0.250 0.250 0.250
0.626 0.123 0.626
0.626 0.626 0.626
0.123 0.626 0.626
0.626 0.626 0.123
0.000 0.000 0.000
```

E_form in eV/atom: -0.260
Symmetry: No. 216
Crystal system: cubic
Relative energy among the computed polymorphs in meV per atom: 0

Record 7
The following is a PBE-GGA calculation of K2TaCu after structural relaxation, from the Alexandria database.

Structure (POSCAR):
```
K2TaCu
1.0
-8.965 -2.947 5.109
-7.147 -4.901 6.330
0.196 2.427 3.592
K Ta Cu
2 1 1
direct
0.104 0.104 0.896
0.396 0.396 0.604
0.250 0.250 0.250
0.750 0.750 0.750
```

E_form in eV/atom: 0.786
Symmetry: No. 71
Crystal system: orthorhombic
Relative energy among the computed polymorphs in meV per atom: 38

Record 8
The following is a PBE-GGA calculation of InAgPSe4 after structural relaxation, from the Alexandria database.

Structure (POSCAR):
```
InAgPSe4
1.0
6.488 0.000 0.000
0.000 6.488 0.000
-3.244 -3.244 5.219
Se P In Ag
4 1 1 1
direct
0.344 0.869 0.287
0.131 0.057 0.713
0.943 0.419 0.287
0.581 0.656 0.713
0.250 0.750 0.500
0.500 0.500 0.000
0.000 0.000 0.000
```

ΔE_f (raw) in eV per atom: -0.11
Symmetry: No. 82
Crystal system: tetragonal

Record 9
The following is a PBE-GGA calculation of KBSe3 after structural relaxation, from the Alexandria database.

Structure (POSCAR):
```
KBSe3
1.0
-3.112 3.396 -1.044
-3.539 -3.086 0.508
-0.316 1.117 4.578
Se B K
3 1 1
direct
0.500 0.000 0.000
0.000 0.500 0.000
0.000 0.000 0.500
0.000 0.000 0.000
0.500 0.500 0.500
```

ΔE_f (raw) in eV per atom: 0.24
Symmetry: No. 221
Crystal system: cubic

Record 10
The following is a PBE-GGA calculation of NaCo3Au after structural relaxation, from the Alexandria database.

Structure (POSCAR):
```
NaCo3Au
1.0
-1.728 3.786 -1.160
-3.613 -2.026 -1.230
-1.621 0.478 3.976
Na Au Co
1 1 3
direct
0.000 0.000 0.000
0.500 0.500 0.500
0.500 0.000 0.000
0.000 0.000 0.500
0.000 0.500 0.000
```

E_form in eV/atom: 1.791
Symmetry: No. 221
Crystal system: cubic
Relative energy among the computed polymorphs in meV per atom: 562

Record 11
The following is a PBE-GGA calculation of PuAu6 after structural relaxation, from the Alexandria database.

Structure (POSCAR):
```
PuAu6
1.0
5.619 0.000 0.000
0.000 9.149 0.000
0.000 0.000 11.180
Au Pu
24 4
direct
0.493 0.444 0.194
0.507 0.056 0.694
0.007 0.444 0.194
0.750 0.189 0.226
0.007 0.944 0.306
0.507 0.556 0.806
0.750 0.843 0.844
0.250 0.386 0.978
0.250 0.311 0.726
0.250 0.657 0.344
0.750 0.435 0.421
0.750 0.343 0.656
0.250 0.157 0.156
0.750 0.689 0.274
0.250 0.065 0.921
0.250 0.886 0.522
0.993 0.056 0.694
0.750 0.114 0.478
0.493 0.944 0.306
0.993 0.556 0.806
0.750 0.935 0.079
0.250 0.811 0.774
0.750 0.614 0.022
0.250 0.565 0.579
0.250 0.261 0.434
0.250 0.761 0.066
0.750 0.739 0.566
0.750 0.239 0.934
```

E_form in eV/atom: -0.211
Symmetry: No. 62
Crystal system: orthorhombic
Relative energy among the computed polymorphs in meV per atom: 0

Record 12
The following is a PBE-GGA calculation of TiBe17V after structural relaxation, from the Alexandria database.

Structure (POSCAR):
```
TiBe17V
1.0
-4.746 -2.484 -1.273
1.831 -5.183 0.305
-1.652 -1.013 5.153
Be Ti V
17 1 1
direct
0.347 0.347 0.842
0.163 0.651 0.651
0.297 0.002 0.701
0.297 0.701 0.002
0.701 0.297 0.002
0.002 0.701 0.297
0.101 0.101 0.101
0.501 0.999 0.999
0.842 0.347 0.347
0.902 0.902 0.902
0.347 0.842 0.347
0.999 0.999 0.501
0.701 0.002 0.297
0.651 0.651 0.163
0.651 0.163 0.651
0.002 0.297 0.701
0.999 0.501 0.999
0.663 0.663 0.663
0.336 0.336 0.336
```

E_form in eV/atom: -0.169
Symmetry: No. 160
Crystal system: trigonal

Record 13
The following is a PBE-GGA calculation of CaCoSn6 after structural relaxation, from the Alexandria database.

Structure (POSCAR):
```
CaCoSn6
1.0
4.265 0.000 0.000
0.000 6.892 -0.861
0.000 -0.424 6.933
Sn Ca Co
6 1 1
direct
0.500 0.600 0.887
0.000 0.786 0.561
0.500 0.113 0.400
0.000 0.343 0.657
0.000 0.439 0.214
0.000 0.882 0.118
0.500 0.104 0.896
0.500 0.733 0.267
```

E_form in eV/atom: -0.103
Symmetry: No. 38
Crystal system: orthorhombic

Record 14
The following is a PBE-GGA calculation of ScPaI2 after structural relaxation, from the Alexandria database.

Structure (POSCAR):
```
ScPaI2
1.0
-1.779 0.506 3.087
1.028 -1.744 2.975
6.167 7.476 4.427
I Sc Pa
2 1 1
direct
0.101 0.101 0.696
0.899 0.899 0.304
0.500 0.500 0.500
0.000 0.000 0.000
```

ΔE_f (raw) in eV per atom: -0.22
Symmetry: No. 166
Crystal system: trigonal

Record 15
The following is a PBE-GGA calculation of MnSbPdPt after structural relaxation, from the Alexandria database.

Structure (POSCAR):
```
MnSbPdPt
1.0
-2.550 1.837 -3.345
0.027 -1.865 -4.194
-3.705 -2.224 -1.546
Pd Mn Pt Sb
1 1 1 1
direct
0.250 0.250 0.250
0.000 0.000 0.000
0.750 0.750 0.750
0.500 0.500 0.500
```

ΔE_f (raw) in eV per atom: -0.30
Symmetry: No. 216
Crystal system: cubic

Record 16
The following is a PBE-GGA calculation of GdUFe2 after structural relaxation, from the Alexandria database.

Structure (POSCAR):
```
GdUFe2
1.0
3.380 0.000 0.000
1.690 2.927 0.000
1.690 0.976 7.534
U Gd Fe
1 1 2
direct
0.000 0.000 0.000
0.500 0.500 0.500
0.264 0.264 0.208
0.736 0.736 0.792
```

E_form in eV/atom: 0.202
Symmetry: No. 166
Crystal system: trigonal
Relative energy among the computed polymorphs in meV per atom: 215

Record 17
The following is a PBE-GGA calculation of AcTm2Zr after structural relaxation, from the Alexandria database.

Structure (POSCAR):
```
AcTm2Zr
1.0
-0.800 -1.365 3.681
-3.271 -1.845 -1.396
4.279 -6.471 -1.470
Tm Ac Zr
2 1 1
direct
0.000 0.000 0.795
0.000 0.000 0.205
0.500 0.500 0.500
0.500 0.500 0.000
```

E_form in eV/atom: 0.170
Symmetry: No. 123
Crystal system: tetragonal
Relative energy among the computed polymorphs in meV per atom: 14

Record 18
The following is a PBE-GGA calculation of Tb2Ho3In4 after structural relaxation, from the Alexandria database.

Structure (POSCAR):
```
Tb2Ho3In4
1.0
7.038 0.000 0.000
0.000 9.264 0.000
-3.519 0.000 8.035
In Ho Tb
8 6 4
direct
0.773 0.250 0.046
0.811 0.036 0.622
0.311 0.464 0.622
0.689 0.536 0.378
0.727 0.750 0.954
0.273 0.250 0.046
0.189 0.964 0.378
0.227 0.750 0.954
0.000 0.000 0.000
0.464 0.250 0.428
0.036 0.750 0.572
0.536 0.750 0.572
0.500 0.500 0.000
0.964 0.250 0.428
0.610 0.933 0.221
0.110 0.567 0.221
0.890 0.433 0.779
0.390 0.067 0.779
```

E_form in eV/atom: -0.257
Symmetry: No. 64
Crystal system: orthorhombic
Relative energy among the computed polymorphs in meV per atom: 151

Record 19
The following is a PBE-GGA calculation of Cu2PbSe3O9 after structural relaxation, from the Alexandria database.

Structure (POSCAR):
```
Cu2PbSe3O9
1.0
7.911 0.004 -0.011
0.028 9.465 0.006
3.659 1.608 12.121
Se Pb O Cu
12 4 36 8
direct
0.322 0.374 0.495
0.678 0.626 0.505
0.435 0.872 0.126
0.088 0.557 0.822
0.363 0.908 0.445
0.444 0.368 0.131
0.565 0.128 0.874
0.912 0.443 0.178
0.126 0.106 0.806
0.637 0.092 0.555
0.556 0.632 0.869
0.874 0.894 0.194
0.125 0.661 0.349
0.051 0.136 0.341
0.875 0.339 0.651
0.949 0.864 0.659
0.876 0.077 0.155
0.044 0.642 0.938
0.124 0.923 0.845
0.963 0.103 0.741
0.270 0.465 0.841
0.617 0.569 0.744
0.383 0.431 0.256
0.657 0.890 0.049
0.742 0.617 0.364
0.305 0.954 0.581
0.653 0.254 0.934
0.037 0.897 0.259
0.150 0.860 0.449
0.258 0.383 0.636
0.430 0.780 0.837
0.882 0.653 0.524
0.118 0.347 0.476
0.570 0.220 0.163
0.956 0.358 0.062
0.347 0.746 0.066
0.818 0.307 0.288
0.730 0.535 0.159
0.437 0.770 0.248
0.695 0.046 0.419
0.377 0.075 0.367
0.563 0.230 0.752
0.623 0.925 0.633
0.850 0.140 0.551
0.182 0.693 0.712
0.987 0.824 0.073
0.343 0.110 0.951
0.756 0.721 0.856
0.013 0.176 0.927
0.633 0.443 0.560
0.244 0.279 0.144
0.367 0.557 0.440
0.224 0.827 0.961
0.837 0.760 0.984
0.444 0.443 0.702
0.556 0.557 0.298
0.163 0.240 0.016
0.618 0.169 0.305
0.382 0.831 0.695
0.776 0.173 0.039
```

ΔE_f (raw) in eV per atom: -0.79
Symmetry: No. 2
Crystal system: triclinic

Record 20
The following is a PBE-GGA calculation of KCeIrO4 after structural relaxation, from the Alexandria database.

Structure (POSCAR):
```
KCeIrO4
1.0
5.610 0.000 0.000
-2.805 7.381 0.467
0.000 -3.571 5.872
K O Ir Ce
2 8 2 2
direct
0.171 0.342 0.921
0.829 0.658 0.079
0.251 0.962 0.231
0.289 0.038 0.769
0.699 0.398 0.267
0.301 0.602 0.733
0.711 0.962 0.231
0.699 0.398 0.631
0.749 0.038 0.769
0.301 0.602 0.369
0.500 0.500 0.500
0.000 0.500 0.500
0.500 0.000 0.500
0.500 0.000 0.000
```

ΔE_f (raw) in eV per atom: -1.79
Symmetry: No. 74
Crystal system: orthorhombic

Number 1: raw total energy -25.095 eV per formula unit. Number 2: raw total energy -24.177 eV per formula unit. Number 3: raw total energy -25.545 eV per formula unit. Number 4: raw total energy -15.574 eV per formula unit. Number 5: raw total energy -70.339 eV per formula unit. Number 6: raw total energy -33.479 eV per formula unit. Number 7: raw total energy -14.998 eV per formula unit. Number 8: raw total energy -25.727 eV per formula unit. Number 9: raw total energy -17.017 eV per formula unit. Number 10: raw total energy -16.957 eV per formula unit. Number 11: raw total energy -35.475 eV per formula unit. Number 12: raw total energy -83.574 eV per formula unit. Number 13: raw total energy -33.946 eV per formula unit. Number 14: raw total energy -19.803 eV per formula unit. Number 15: raw total energy -25.729 eV per formula unit. Number 16: raw total energy -41.486 eV per formula unit. Number 17: raw total energy -20.920 eV per formula unit. Number 18: raw total energy -36.264 eV per formula unit. Number 19: raw total energy -78.861 eV per formula unit. Number 20: raw total energy -48.222 eV per formula unit.